First-principles (PBE) data for an optimized crystal structure of Ca3Pm3MgTe8, as listed in Alexandria via LeMat-Bulk.

Results
Its formation energy without anion corrections is -1.41 eV/atom. The crystal system is trigonal. For the raw total energy, the calculation gives -4.55 eV/atom. As for the volume: 33.70 A^3/atom.

abc: 8.988 8.988 8.988
angles: 59.33 59.33 59.33
Sites, in units of the cell vectors:
Ca: 0.000 0.500 0.500
Ca: 0.500 0.000 0.500
Ca: 0.500 0.500 0.000
Pm: 0.000 0.000 0.500
Pm: 0.000 0.500 0.000
Pm: 0.500 0.000 0.000
Mg: 0.500 0.500 0.500
Te: 0.250 0.250 0.250
Te: 0.257 0.742 0.742
Te: 0.258 0.258 0.743
Te: 0.258 0.743 0.258
Te: 0.742 0.257 0.742
Te: 0.742 0.742 0.257
Te: 0.743 0.258 0.258
Te: 0.750 0.750 0.750